Compound: TlP2O6
Source: Alexandria
Functional: PBE
Structure: relaxed

Unit cell a=5.7059 b=5.7059 c=6.5512 alpha=101.37 beta=101.37 gamma=39.01
Fractional coordinates of all 9 atoms:
Tl  0.0000  0.0000  0.0000
P  0.2413  0.2413  0.6567
P  0.7587  0.7587  0.3433
O  0.1137  0.1137  0.7111
O  0.2501  0.2501  0.4112
O  0.3654  0.3654  0.8225
O  0.6346  0.6346  0.1775
O  0.7499  0.7499  0.5888
O  0.8863  0.8863  0.2889

Calculated values
Raw formation energy, kJ/mol of atoms: -152.4
Final energy, eV per atom: -6.350
Crystal system: monoclinic
ΔE to the lowest computed polymorph, eV per atom: 0.189